TaTeCI2 | the Alexandria database | GGA-PBE | optimized geometry; VASP energy = -19.26 eV per cell; total moment = 2.10 μB per cell; SG = No. 123
1.0
-3.4480 1.0652 -3.2318
3.1788 -0.6335 -3.6002
-1.2028 -4.6392 -0.2457
Te Ta I C
1 1 2 1
Direct
0.0000 0.0000 0.5000
0.5000 0.5000 0.5000
0.0000 0.5000 0.0000
0.5000 0.0000 0.0000
0.0000 0.0000 0.0000